1.
This record from Alexandria describes crystalline NaTbPb2S4 at its relaxed geometry. The functional is PBE.

Geometry as POSCAR:
```
NaTbPb2S4
1.0
7.091 0.000 0.000
0.000 4.113 0.000
-2.277 0.000 6.823
Na Tb Pb S
1 1 2 4
direct
0.000 0.000 0.000
0.500 0.500 0.000
0.000 0.500 0.500
0.500 0.000 0.500
0.258 0.500 0.235
0.266 0.000 0.773
0.734 0.000 0.227
0.742 0.500 0.765
```

## Properties
The calculation puts the total energy at -4.87 eV per atom. The calculation puts the formation energy without anion corrections at -1.137 eV per atom. For the volume, the calculation gives 199.0 Å³/f.u.

=====

2.
This record from Alexandria describes crystalline NaTePb2S4 at its relaxed geometry. The functional is PBE.

Geometry as POSCAR:
```
NaTePb2S4
1.0
5.727 -5.707 0.000
5.727 5.707 0.000
-5.420 0.000 6.218
Na Te Pb S
2 2 4 8
direct
0.000 0.000 0.000
0.000 0.000 0.500
0.000 0.500 0.000
0.500 0.000 0.500
0.000 0.500 0.500
0.500 0.000 0.000
0.500 0.500 0.000
0.500 0.500 0.500
0.214 0.725 0.972
0.239 0.265 0.015
0.265 0.239 0.515
0.275 0.786 0.528
0.725 0.214 0.472
0.735 0.761 0.485
0.761 0.735 0.985
0.786 0.275 0.028
```

## Properties
The calculation puts the total energy at -3.98 eV per atom. The calculation puts the formation energy without anion corrections at -0.427 eV per atom. For the volume, the calculation gives 203.2 Å³/f.u.

=====

3.
This record from Alexandria describes crystalline Na2TePbS at its relaxed geometry. The functional is PBE.

Geometry as POSCAR:
```
Na2TePbS
1.0
6.313 0.000 0.000
0.000 6.313 0.000
0.000 0.000 5.002
Na Te Pb S
2 1 1 1
direct
0.000 0.500 0.000
0.500 0.000 0.000
0.000 0.000 0.500
0.500 0.500 0.000
0.500 0.500 0.500
```

## Properties
The relative energy among the computed polymorphs comes out at 832 meV per atom. The calculation puts the total energy at -2.58 eV per atom. The calculation puts the formation energy without anion corrections at 0.144 eV per atom. For the volume, the calculation gives 199.3 Å³/f.u.

=====

4.
This record from Alexandria describes crystalline Na2TePbS4 at its relaxed geometry. The functional is PBE.

Geometry as POSCAR:
```
Na2TePbS4
1.0
-4.029 4.153 5.794
4.029 -4.153 5.794
4.029 4.153 -5.794
Na Te Pb S
4 2 2 8
direct
0.000 0.000 0.000
0.500 0.000 0.000
0.500 0.000 0.500
0.500 0.500 0.500
0.000 0.000 0.500
0.000 0.500 0.000
0.000 0.500 0.500
0.500 0.500 0.000
0.220 0.244 0.976
0.231 0.225 0.494
0.231 0.737 0.006
0.231 0.756 0.476
0.769 0.244 0.524
0.769 0.263 0.994
0.769 0.775 0.506
0.780 0.756 0.024
```

## Properties
The calculation puts the total energy at -3.81 eV per atom. The calculation puts the formation energy without anion corrections at -0.556 eV per atom. For the volume, the calculation gives 193.9 Å³/f.u.

=====

5.
This record from Alexandria describes crystalline Na2TePbS at its relaxed geometry. The functional is PBE.

Geometry as POSCAR:
```
Na2TePbS
1.0
5.101 0.000 0.000
0.000 5.101 0.000
0.000 0.000 5.748
Na Te Pb S
2 1 1 1
direct
0.000 0.500 0.000
0.500 0.000 0.000
0.000 0.000 0.500
0.500 0.500 0.500
0.500 0.500 0.000
```

## Properties
The relative energy among the computed polymorphs comes out at 0 meV per atom. The calculation puts the total energy at -3.41 eV per atom. The calculation puts the formation energy without anion corrections at -0.688 eV per atom. For the volume, the calculation gives 149.5 Å³/f.u.

=====

6.
This record from Alexandria describes crystalline Na2ThPb3S6 at its relaxed geometry. The functional is PBE.

Geometry as POSCAR:
```
Na2ThPb3S6
1.0
3.609 -6.244 0.000
3.609 6.244 0.000
-2.346 0.000 6.899
Na Th Pb S
2 1 3 6
direct
0.168 0.832 0.000
0.832 0.168 0.000
0.500 0.500 0.000
0.000 0.000 0.500
0.333 0.667 0.500
0.667 0.333 0.500
0.107 0.420 0.766
0.268 0.268 0.247
0.420 0.107 0.766
0.580 0.893 0.234
0.732 0.732 0.753
0.893 0.580 0.234
```

## Properties
The calculation puts the total energy at -4.92 eV per atom. The calculation puts the formation energy without anion corrections at -1.092 eV per atom. For the volume, the calculation gives 310.9 Å³/f.u.